Entry 1:
Mn3CoGe, optimized geometry, DFT PBE; energy relative to the lowest polymorph listed for this composition = 0.000 eV/atom
1.0
4.417 0.000 0.000
0.000 4.417 0.000
0.000 0.000 4.417
Mn Co Ge
3 1 1
Direct
0.000 0.000 0.500
0.000 0.500 0.000
0.500 0.000 0.000
0.000 0.000 0.000
0.500 0.500 0.500

Entry 2:
Co2SbSe, optimized geometry, DFT PBE; E = -5.384 eV/atom
1.0
3.803 0.000 0.000
-1.902 3.294 0.000
0.000 0.000 17.777
Co Sb Se
6 3 3
Direct
0.000 0.000 0.000
0.000 0.000 0.298
0.333 0.667 0.667
0.333 0.667 0.965
0.667 0.333 0.333
0.667 0.333 0.632
0.000 0.000 0.746
0.333 0.667 0.413
0.667 0.333 0.079
0.000 0.000 0.569
0.333 0.667 0.236
0.667 0.333 0.903

Entry 3:
CeBiSbO6, optimized geometry, DFT PBE; E = -6.812 eV/atom
1.0
5.696 0.000 0.000
-2.848 4.932 0.000
0.000 0.000 9.693
Ce Bi Sb O
2 2 2 12
Direct
0.333 0.667 0.250
0.667 0.333 0.750
0.000 0.000 0.000
0.000 0.000 0.500
0.333 0.667 0.750
0.667 0.333 0.250
0.033 0.371 0.636
0.033 0.662 0.864
0.338 0.371 0.864
0.338 0.967 0.636
0.371 0.033 0.136
0.371 0.338 0.364
0.629 0.662 0.636
0.629 0.967 0.864
0.662 0.033 0.364
0.662 0.629 0.136
0.967 0.338 0.136
0.967 0.629 0.364

Entry 4:
U2Si4Pt3Rh, optimized geometry, DFT PBE; E = -7.764 eV/atom
1.0
4.129 0.000 0.000
0.000 4.129 0.000
0.000 0.000 10.059
U Si Pt Rh
2 4 3 1
Direct
0.000 0.500 0.249
0.500 0.000 0.751
0.000 0.000 0.000
0.000 0.500 0.635
0.500 0.000 0.365
0.500 0.500 0.000
0.000 0.500 0.874
0.500 0.000 0.126
0.500 0.500 0.500
0.000 0.000 0.500

Entry 5:
Sm4Y2HoEr2, optimized geometry, DFT PBE; E = -5.036 eV/atom
1.0
7.592 -2.527 0.000
7.592 2.527 0.000
-2.529 0.000 7.591
Sm Y Ho Er
4 2 1 2
Direct
0.055 0.055 0.330
0.278 0.278 0.669
0.722 0.722 0.331
0.945 0.945 0.670
0.388 0.388 0.331
0.612 0.612 0.669
0.500 0.500 0.000
0.167 0.167 0.000
0.833 0.833 0.000

Entry 6:
SrLa2CdRh, optimized geometry, DFT PBE; energy relative to the lowest polymorph listed for this composition = 0.017 eV/atom
1.0
5.485 0.000 0.000
0.000 5.485 0.000
0.000 0.000 5.979
Sr La Cd Rh
1 2 1 1
Direct
0.000 0.000 0.000
0.000 0.500 0.500
0.500 0.000 0.500
0.500 0.500 0.000
0.000 0.000 0.500

Entry 7:
AcPm3Y3, optimized geometry, DFT PBE; energy relative to the lowest polymorph listed for this composition = 0.000 eV/atom
1.0
11.230 6.484 2.299
-11.230 6.484 2.299
0.000 -12.967 2.299
Ac Pm Y
4 12 12
Direct
0.000 0.000 0.000
0.397 0.397 0.583
0.397 0.583 0.397
0.583 0.397 0.397
0.135 0.860 0.860
0.176 0.176 0.638
0.176 0.638 0.176
0.442 0.706 0.969
0.442 0.969 0.706
0.638 0.176 0.176
0.706 0.442 0.969
0.706 0.969 0.442
0.860 0.135 0.860
0.860 0.860 0.135
0.969 0.442 0.706
0.969 0.706 0.442
0.188 0.661 0.661
0.225 0.412 0.969
0.225 0.969 0.412
0.412 0.225 0.969
0.412 0.969 0.225
0.632 0.897 0.897
0.661 0.188 0.661
0.661 0.661 0.188
0.897 0.632 0.897
0.897 0.897 0.632
0.969 0.225 0.412
0.969 0.412 0.225

Entry 8:
TlTe2Ir, optimized geometry, DFT PBE; energy relative to the lowest polymorph listed for this composition = 0.163 eV/atom
1.0
12.289 0.000 0.000
0.000 3.969 0.000
-2.135 0.000 4.926
Tl Te Ir
2 4 2
Direct
0.000 0.000 0.000
0.500 0.500 0.000
0.195 0.000 0.701
0.350 0.000 0.397
0.695 0.500 0.701
0.850 0.500 0.397
0.280 0.500 0.047
0.780 0.000 0.047

Repeat the fourth record exactly.
U2Si4Pt3Rh, optimized geometry, DFT PBE; E = -7.764 eV/atom
1.0
4.129 0.000 0.000
0.000 4.129 0.000
0.000 0.000 10.059
U Si Pt Rh
2 4 3 1
Direct
0.000 0.500 0.249
0.500 0.000 0.751
0.000 0.000 0.000
0.000 0.500 0.635
0.500 0.000 0.365
0.500 0.500 0.000
0.000 0.500 0.874
0.500 0.000 0.126
0.500 0.500 0.500
0.000 0.000 0.500